(1)
DFT (PBE) results for a geometry-optimized BaPa4Pd3Se12 structure.

```
BaPa4Pd3Se12
1.0
-1.400 -8.065 3.526
-0.641 -0.486 -8.876
8.143 2.848 2.239
Ba Pa Pd Se
1 4 3 12
direct
0.000 0.000 0.000 Ba
0.500 0.000 0.000 Pa
0.500 0.500 0.500 Pa
0.000 0.500 0.000 Pa
0.000 0.000 0.500 Pa
0.000 0.500 0.500 Pd
0.500 0.500 0.000 Pd
0.500 0.000 0.500 Pd
0.311 0.836 0.147 Se
0.689 0.164 0.853 Se
0.689 0.836 0.525 Se
0.853 0.689 0.164 Se
0.836 0.147 0.311 Se
0.164 0.475 0.311 Se
0.475 0.311 0.164 Se
0.164 0.853 0.689 Se
0.311 0.164 0.475 Se
0.147 0.311 0.836 Se
0.836 0.525 0.689 Se
0.525 0.689 0.836 Se
```

Results
SG	Im-3
total magnetic moment	0.0	Bohr magnetons per cell
D(E_F)	16.61	states/eV per cell
E_tot	-118.4	eV for the cell shown

***

(2)
DFT (PBE) results for a geometry-optimized KPtBr structure.

```
KPtBr
1.0
16.770 0.000 -0.074
7.743 2.503 -2.314
-7.743 2.503 2.314
K Br Pt
2 2 2
direct
0.926 0.780 0.220 K
0.913 0.530 0.470 K
0.426 0.835 0.165 Br
0.414 0.542 0.458 Br
0.420 0.689 0.311 Pt
0.420 0.156 0.844 Pt
```

Results
SG	Cm
total magnetic moment	0.0	Bohr magnetons per cell
D(E_F)	2.33	states/eV per cell
E_tot	-21.0	eV for the cell shown
distance to the lowest polymorph of the same formula	2.406	kcal/mol of atoms

***

(3)
DFT (PBE) results for a geometry-optimized LiCuOs structure.

```
LiCuOs
1.0
-1.576 -3.607 -0.763
2.322 -3.267 0.112
-0.432 -2.666 2.963
Cu Li Os
1 1 1
direct
0.750 0.750 0.750 Cu
0.000 0.000 0.000 Li
0.500 0.500 0.500 Os
```

Results
SG	F-43m
energy relative to the elements	0.958	eV/atom
total magnetic moment	2.0	Bohr magnetons per cell
D(E_F)	0.54	states/eV per cell
E_tot	-14.4	eV for the cell shown
distance to the lowest polymorph of the same formula	17.763	kcal/mol of atoms